(1)
{
  "formula": "NdYAg2Sn2",
  "functional": "PBE",
  "state": "relaxed",
  "cell": [[4.766, 0.000, 0.000], [-2.383, 4.127, 0.000], [0.000, 0.000, 7.476]],
  "species": ["Ag", "Ag", "Nd", "Sn", "Sn", "Y"],
  "fractional_positions": [[0.667, 0.333, 0.461], [0.333, 0.667, 0.947], [0.000, 0.000, 0.258], [0.667, 0.333, 0.033], [0.333, 0.667, 0.542], [0.000, 0.000, 0.759]],
  "rho_g_cm3": 7.751,
  "total_energy_ev_per_fu": -28.62
}

=====

(2)
{
  "formula": "SrNdAg4",
  "functional": "PBE",
  "state": "relaxed",
  "cell": [[4.848, -0.772, 3.439], [-2.527, 3.875, 3.811], [-1.525, -5.505, -1.816]],
  "species": ["Ag", "Ag", "Ag", "Ag", "Nd", "Sr"],
  "fractional_positions": [[0.363, 0.164, 0.199], [0.126, 0.835, 0.291], [0.543, 0.835, 0.709], [0.964, 0.164, 0.801], [0.961, 0.461, 0.500], [0.542, 0.542, 0.000]],
  "rho_g_cm3": 7.662,
  "total_energy_ev_per_fu": -19.36
}

=====

(3)
{
  "formula": "SrNdAg",
  "functional": "PBE",
  "state": "relaxed",
  "cell": [[-2.437, -4.648, 0.744], [-4.908, -0.746, -1.857], [-0.814, -3.253, -4.105]],
  "species": ["Ag", "Nd", "Sr"],
  "fractional_positions": [[0.000, 0.000, 0.000], [0.250, 0.250, 0.250], [0.750, 0.750, 0.750]],
  "rho_g_cm3": 5.358,
  "total_energy_ev_per_fu": -9.12
}

=====

(4)
{
  "formula": "TbNdAg2",
  "functional": "PBE",
  "state": "relaxed",
  "cell": [[-3.015, 1.160, 1.726], [1.421, -1.068, 3.202], [3.100, 6.751, 0.876]],
  "species": ["Ag", "Ag", "Nd", "Tb"],
  "fractional_positions": [[0.000, 0.000, 0.233], [0.000, 0.000, 0.767], [0.500, 0.500, 0.500], [0.500, 0.500, 0.000]],
  "rho_g_cm3": 8.586,
  "total_energy_ev_per_fu": -16.24
}

=====

(5)
{
  "formula": "TbNdAg",
  "functional": "PBE",
  "state": "relaxed",
  "cell": [[4.849, -1.057, -0.510], [2.915, -0.351, 4.034], [1.748, -4.447, 1.435]],
  "species": ["Ag", "Nd", "Tb"],
  "fractional_positions": [[0.250, 0.250, 0.250], [0.000, 0.000, 0.000], [0.750, 0.750, 0.750]],
  "rho_g_cm3": 7.774,
  "total_energy_ev_per_fu": -10.61
}

=====

(6)
{
  "formula": "NdAg3Te3",
  "functional": "PBE",
  "state": "relaxed",
  "cell": [[3.970, 2.292, 7.347], [-3.970, 2.292, 7.347], [0.000, -4.584, 7.347]],
  "species": ["Ag", "Ag", "Ag", "Ag", "Ag", "Ag", "Nd", "Nd", "Te", "Te", "Te", "Te", "Te", "Te"],
  "fractional_positions": [[0.485, 0.764, 0.129], [0.871, 0.515, 0.236], [0.764, 0.129, 0.485], [0.236, 0.871, 0.515], [0.129, 0.485, 0.764], [0.515, 0.236, 0.871], [0.334, 0.334, 0.334], [0.666, 0.666, 0.666], [0.760, 0.394, 0.074], [0.606, 0.926, 0.240], [0.074, 0.760, 0.394], [0.926, 0.240, 0.606], [0.394, 0.074, 0.760], [0.240, 0.606, 0.926]],
  "rho_g_cm3": 7.045,
  "total_energy_ev_per_fu": -26.76
}

=====

(7)
{
  "formula": "Nd2AgTe3",
  "functional": "PBE",
  "state": "relaxed",
  "cell": [[-0.798, -9.113, 6.792], [-1.056, -2.432, -3.387], [14.317, -2.984, -2.322]],
  "species": ["Ag", "Ag", "Ag", "Ag", "Nd", "Nd", "Nd", "Nd", "Nd", "Nd", "Nd", "Nd", "Te", "Te", "Te", "Te", "Te", "Te", "Te", "Te", "Te", "Te", "Te", "Te"],
  "fractional_positions": [[0.762, 0.750, 0.225], [0.262, 0.750, 0.275], [0.738, 0.250, 0.725], [0.238, 0.250, 0.775], [0.769, 0.250, 0.022], [0.514, 0.250, 0.248], [0.014, 0.250, 0.252], [0.269, 0.250, 0.478], [0.731, 0.750, 0.522], [0.986, 0.750, 0.748], [0.486, 0.750, 0.752], [0.231, 0.750, 0.978], [0.581, 0.750, 0.097], [0.952, 0.750, 0.100], [0.263, 0.250, 0.145], [0.763, 0.250, 0.355], [0.452, 0.750, 0.400], [0.081, 0.750, 0.403], [0.919, 0.250, 0.597], [0.548, 0.250, 0.600], [0.237, 0.750, 0.645], [0.737, 0.750, 0.855], [0.048, 0.250, 0.900], [0.419, 0.250, 0.903]],
  "rho_g_cm3": 7.132,
  "total_energy_ev_per_fu": -28.35
}

=====

(8)
{
  "formula": "Nd2AgTe3",
  "functional": "PBE",
  "state": "relaxed",
  "cell": [[-5.194, 6.679, -3.967], [-2.576, 0.076, 3.500], [10.317, 12.372, 7.323]],
  "species": ["Ag", "Ag", "Ag", "Ag", "Nd", "Nd", "Nd", "Nd", "Nd", "Nd", "Nd", "Nd", "Te", "Te", "Te", "Te", "Te", "Te", "Te", "Te", "Te", "Te", "Te", "Te"],
  "fractional_positions": [[0.864, 0.250, 0.137], [0.364, 0.250, 0.363], [0.636, 0.750, 0.637], [0.136, 0.750, 0.863], [0.250, 0.250, 0.027], [0.542, 0.750, 0.216], [0.042, 0.750, 0.284], [0.750, 0.250, 0.473], [0.250, 0.750, 0.527], [0.958, 0.250, 0.716], [0.458, 0.250, 0.784], [0.750, 0.750, 0.973], [0.587, 0.250, 0.078], [0.026, 0.750, 0.095], [0.278, 0.250, 0.212], [0.778, 0.250, 0.288], [0.526, 0.750, 0.405], [0.087, 0.250, 0.422], [0.913, 0.750, 0.578], [0.474, 0.250, 0.595], [0.222, 0.750, 0.712], [0.722, 0.750, 0.788], [0.974, 0.250, 0.905], [0.413, 0.750, 0.922]],
  "rho_g_cm3": 7.201,
  "total_energy_ev_per_fu": -28.03
}

=====

(9)
{
  "formula": "Nd2AgTe3",
  "functional": "PBE",
  "state": "relaxed",
  "cell": [[-2.609, 3.381, 0.202], [-8.944, -6.798, -1.733], [0.468, -2.463, 7.248]],
  "species": ["Ag", "Ag", "Nd", "Nd", "Nd", "Nd", "Te", "Te", "Te", "Te", "Te", "Te"],
  "fractional_positions": [[0.979, 0.750, 0.052], [0.021, 0.250, 0.948], [0.500, 0.000, 0.000], [0.500, 0.500, 0.000], [0.709, 0.750, 0.454], [0.291, 0.250, 0.546], [0.635, 0.250, 0.211], [0.142, 0.564, 0.302], [0.142, 0.936, 0.302], [0.858, 0.064, 0.698], [0.858, 0.436, 0.698], [0.365, 0.750, 0.789]],
  "rho_g_cm3": 7.163,
  "total_energy_ev_per_fu": -28.33
}

=====

(10)
{
  "formula": "NdTlAg3Te4",
  "functional": "PBE",
  "state": "relaxed",
  "cell": [[-2.389, 6.418, -0.087], [-3.542, -1.395, -5.693], [-5.353, -1.941, 3.805]],
  "species": ["Ag", "Ag", "Ag", "Nd", "Te", "Te", "Te", "Te", "Tl"],
  "fractional_positions": [[0.500, 0.500, 0.000], [0.500, 0.000, 0.500], [0.000, 0.500, 0.500], [0.500, 0.500, 0.500], [0.252, 0.252, 0.252], [0.748, 0.748, 0.252], [0.748, 0.252, 0.748], [0.252, 0.748, 0.748], [0.000, 0.000, 0.000]],
  "rho_g_cm3": 6.114,
  "total_energy_ev_per_fu": -31.41
}

=====

(11)
{
  "formula": "NdTlAgTe3",
  "functional": "PBE",
  "state": "relaxed",
  "cell": [[4.068, 6.270, 2.977], [-6.963, -3.957, -0.763], [2.444, -6.154, 9.620]],
  "species": ["Ag", "Ag", "Nd", "Nd", "Te", "Te", "Te", "Te", "Te", "Te", "Tl", "Tl"],
  "fractional_positions": [[0.465, 0.535, 0.250], [0.535, 0.465, 0.750], [0.000, 0.000, 0.000], [0.000, 0.000, 0.500], [0.357, 0.643, 0.057], [0.083, 0.917, 0.250], [0.357, 0.643, 0.443], [0.643, 0.357, 0.557], [0.917, 0.083, 0.750], [0.643, 0.357, 0.943], [0.759, 0.241, 0.250], [0.241, 0.759, 0.750]],
  "rho_g_cm3": 7.134,
  "total_energy_ev_per_fu": -23.50
}

=====

(12)
{
  "formula": "NdTm2Ag3",
  "functional": "PBE",
  "state": "relaxed",
  "cell": [[-2.762, -0.544, 2.263], [0.954, -3.468, 0.330], [6.451, 2.583, 8.496]],
  "species": ["Ag", "Ag", "Ag", "Nd", "Tm", "Tm"],
  "fractional_positions": [[0.000, 0.000, 0.000], [0.000, 0.000, 0.314], [0.000, 0.000, 0.686], [0.500, 0.500, 0.500], [0.500, 0.500, 0.161], [0.500, 0.500, 0.839]],
  "rho_g_cm3": 9.346,
  "total_energy_ev_per_fu": -24.13
}